{
  "formula": "AcY6Th",
  "functional": "GGA-PBE",
  "state": "optimized geometry",
  "total_magnetization_mub_per_fu": 0.0,
  "formation_energy_mev_per_atom": 45,
  "energy_ev_per_atom": -6.2444,
  "mass_density_kg_m3": 6115,
  "e_above_lowest_polymorph_mev_per_atom": 0,
  "cell": [[5.117, 0.000, 0.000], [0.000, 5.117, 0.000], [0.000, 0.000, 10.291]],
  "species": ["Th", "Y", "Y", "Y", "Y", "Y", "Y", "Ac"],
  "frac_coords": [[0.000, 0.000, 0.500], [0.000, 0.500, 0.740], [0.500, 0.000, 0.740], [0.500, 0.500, 0.500], [0.500, 0.000, 0.260], [0.500, 0.500, 0.000], [0.000, 0.500, 0.260], [0.000, 0.000, 0.000]]
}

---

{
  "formula": "AcY2Th",
  "functional": "GGA-PBE",
  "state": "optimized geometry",
  "total_magnetization_mub_per_fu": 0.0,
  "formation_energy_mev_per_atom": 134,
  "energy_ev_per_atom": -5.9802,
  "mass_density_kg_m3": 7526,
  "e_above_lowest_polymorph_mev_per_atom": 95,
  "cell": [[-0.953, 0.330, 5.748], [-4.853, -2.293, 2.289], [0.316, -4.809, 3.291]],
  "species": ["Th", "Y", "Y", "Ac"],
  "frac_coords": [[0.000, 0.000, 0.000], [0.250, 0.250, 0.250], [0.750, 0.750, 0.750], [0.500, 0.500, 0.500]]
}

---

{
  "formula": "AcY2Th",
  "functional": "GGA-PBE",
  "state": "optimized geometry",
  "total_magnetization_mub_per_fu": 0.0,
  "formation_energy_mev_per_atom": 83,
  "energy_ev_per_atom": -6.0312,
  "mass_density_kg_m3": 7578,
  "e_above_lowest_polymorph_mev_per_atom": 44,
  "cell": [[5.046, 0.000, 0.000], [0.000, 5.259, 0.000], [0.000, 0.000, 5.259]],
  "species": ["Th", "Y", "Y", "Ac"],
  "frac_coords": [[0.500, 0.500, 0.500], [0.000, 0.000, 0.500], [0.000, 0.500, 0.000], [0.500, 0.000, 0.000]]
}

---

{
  "formula": "AcY2Th",
  "functional": "GGA-PBE",
  "state": "optimized geometry",
  "total_magnetization_mub_per_fu": 0.0,
  "formation_energy_mev_per_atom": 57,
  "energy_ev_per_atom": -6.0571,
  "mass_density_kg_m3": 7561,
  "e_above_lowest_polymorph_mev_per_atom": 18,
  "cell": [[3.687, 0.000, 0.000], [1.844, 3.193, 0.000], [1.844, 1.064, 11.879]],
  "species": ["Y", "Y", "Th", "Ac"],
  "frac_coords": [[0.078, 0.078, 0.766], [0.255, 0.255, 0.235], [0.666, 0.666, 0.000], [0.500, 0.500, 0.499]]
}